Record 1
DFT (PBE) results for a relaxed structure of RbHfNi2.

## Properties
- Symmetry: Fm-3m
- ΔE to the lowest computed polymorph: 39.2 meV/atom
- D(E_F): 0.68 states/eV per atom

Cell and atoms, written as CIF:
```
data_RbHfNi2
_chemical_formula_sum 'Rb1 Hf1 Ni2'
_cell_length_a 4.776
_cell_length_b 4.776
_cell_length_c 4.776
_cell_angle_alpha 60.00
_cell_angle_beta 60.00
_cell_angle_gamma 60.00
_symmetry_space_group_name_H-M 'P 1'
_symmetry_Int_Tables_number 1
loop_
_symmetry_equiv_pos_as_xyz
'x,y,z'
loop_
_atom_site_label
_atom_site_type_symbol
_atom_site_fract_x
_atom_site_fract_y
_atom_site_fract_z
Rb1 Rb 0.000 0.000 0.000
Hf1 Hf 0.500 0.500 0.500
Ni1 Ni 0.250 0.250 0.250
Ni2 Ni 0.750 0.750 0.750
```


Record 2
DFT (PBE) results for a relaxed structure of LaAgH8Rh2.

## Properties
- Symmetry: R-3
- DFT total energy: -4.31 eV per atom
- D(E_F): 0.09 states/eV per atom

Cell and atoms, written as CIF:
```
data_LaAgH8Rh2
_chemical_formula_sum 'La1 Ag1 H8 Rh2'
_cell_length_a 6.222
_cell_length_b 6.222
_cell_length_c 6.222
_cell_angle_alpha 46.81
_cell_angle_beta 46.81
_cell_angle_gamma 46.81
_symmetry_space_group_name_H-M 'P 1'
_symmetry_Int_Tables_number 1
loop_
_symmetry_equiv_pos_as_xyz
'x,y,z'
loop_
_atom_site_label
_atom_site_type_symbol
_atom_site_fract_x
_atom_site_fract_y
_atom_site_fract_z
La1 La 0.000 0.000 0.000
Ag1 Ag 0.500 0.500 0.500
H1 H 0.093 0.865 0.406
H2 H 0.135 0.594 0.907
H3 H 0.305 0.305 0.305
H4 H 0.406 0.093 0.865
H5 H 0.594 0.907 0.135
H6 H 0.695 0.695 0.695
H7 H 0.865 0.406 0.093
H8 H 0.907 0.135 0.594
Rh1 Rh 0.202 0.202 0.202
Rh2 Rh 0.798 0.798 0.798
```


Record 3
DFT (PBE) results for a relaxed structure of LiMg2Cd3.

## Properties
- Symmetry: P4/mmm
- ΔE to the lowest computed polymorph: 0.0 meV/atom
- D(E_F): 0.17 states/eV per atom

Cell and atoms, written as CIF:
```
data_LiMg2Cd3
_chemical_formula_sum 'Li1 Mg2 Cd3'
_cell_length_a 3.343
_cell_length_b 3.343
_cell_length_c 10.951
_cell_angle_alpha 90.00
_cell_angle_beta 90.00
_cell_angle_gamma 90.00
_symmetry_space_group_name_H-M 'P 1'
_symmetry_Int_Tables_number 1
loop_
_symmetry_equiv_pos_as_xyz
'x,y,z'
loop_
_atom_site_label
_atom_site_type_symbol
_atom_site_fract_x
_atom_site_fract_y
_atom_site_fract_z
Li1 Li 0.000 0.000 0.000
Mg1 Mg 0.000 0.000 0.322
Mg2 Mg 0.000 0.000 0.678
Cd1 Cd 0.500 0.500 0.146
Cd2 Cd 0.500 0.500 0.500
Cd3 Cd 0.500 0.500 0.854
```


Record 4
DFT (PBE) results for a relaxed structure of Ac3PmSm3S8.

## Properties
- Symmetry: R-3m
- Raw formation energy: -2.04 eV/atom
- D(E_F): 0.49 states/eV per atom

Cell and atoms, written as CIF:
```
data_Ac3PmSm3S8
_chemical_formula_sum 'Ac3 Pm1 Sm3 S8'
_cell_length_a 8.377
_cell_length_b 8.377
_cell_length_c 8.377
_cell_angle_alpha 58.53
_cell_angle_beta 58.53
_cell_angle_gamma 58.53
_symmetry_space_group_name_H-M 'P 1'
_symmetry_Int_Tables_number 1
loop_
_symmetry_equiv_pos_as_xyz
'x,y,z'
loop_
_atom_site_label
_atom_site_type_symbol
_atom_site_fract_x
_atom_site_fract_y
_atom_site_fract_z
Ac1 Ac 0.000 0.500 0.500
Ac2 Ac 0.500 0.000 0.500
Ac3 Ac 0.500 0.500 0.000
Pm1 Pm 0.500 0.500 0.500
Sm1 Sm 0.000 0.000 0.500
Sm2 Sm 0.000 0.500 0.000
Sm3 Sm 0.500 0.000 0.000
S1 S 0.242 0.745 0.745
S2 S 0.243 0.243 0.243
S3 S 0.255 0.255 0.758
S4 S 0.255 0.758 0.255
S5 S 0.745 0.242 0.745
S6 S 0.745 0.745 0.242
S7 S 0.757 0.757 0.757
S8 S 0.758 0.255 0.255
```


Record 5
DFT (PBE) results for a relaxed structure of Pm5Sn6Bi.

## Properties
- Symmetry: C2/m
- DFT total energy: -4.75 eV per atom
- D(E_F): 0.44 states/eV per atom

Cell and atoms, written as CIF:
```
data_Pm5Sn6Bi
_chemical_formula_sum 'Pm5 Sn6 Bi1'
_cell_length_a 6.827
_cell_length_b 6.827
_cell_length_c 8.370
_cell_angle_alpha 95.98
_cell_angle_beta 95.98
_cell_angle_gamma 104.35
_symmetry_space_group_name_H-M 'P 1'
_symmetry_Int_Tables_number 1
loop_
_symmetry_equiv_pos_as_xyz
'x,y,z'
loop_
_atom_site_label
_atom_site_type_symbol
_atom_site_fract_x
_atom_site_fract_y
_atom_site_fract_z
Pm1 Pm 0.000 0.000 0.000
Pm2 Pm 0.182 0.818 0.500
Pm3 Pm 0.339 0.661 0.000
Pm4 Pm 0.661 0.339 0.000
Pm5 Pm 0.818 0.182 0.500
Sn1 Sn 0.075 0.415 0.244
Sn2 Sn 0.242 0.242 0.744
Sn3 Sn 0.415 0.075 0.244
Sn4 Sn 0.585 0.925 0.756
Sn5 Sn 0.758 0.758 0.256
Sn6 Sn 0.925 0.585 0.756
Bi1 Bi 0.500 0.500 0.500
```


Record 6
DFT (PBE) results for a relaxed structure of CePm2Al.

## Properties
- Symmetry: P4/mmm
- ΔE to the lowest computed polymorph: 26.1 meV/atom
- D(E_F): 1.36 states/eV per atom

Cell and atoms, written as CIF:
```
data_CePm2Al
_chemical_formula_sum 'Ce1 Pm2 Al1'
_cell_length_a 3.571
_cell_length_b 3.571
_cell_length_c 8.917
_cell_angle_alpha 90.00
_cell_angle_beta 90.00
_cell_angle_gamma 90.00
_symmetry_space_group_name_H-M 'P 1'
_symmetry_Int_Tables_number 1
loop_
_symmetry_equiv_pos_as_xyz
'x,y,z'
loop_
_atom_site_label
_atom_site_type_symbol
_atom_site_fract_x
_atom_site_fract_y
_atom_site_fract_z
Ce1 Ce 0.000 0.000 0.000
Pm1 Pm 0.500 0.500 0.279
Pm2 Pm 0.500 0.500 0.721
Al1 Al 0.000 0.000 0.500
```


Record 7
DFT (PBE) results for a relaxed structure of Ba2LiAu.

## Properties
- Symmetry: I-42d
- ΔE to the lowest computed polymorph: 269.4 meV/atom
- D(E_F): 0.74 states/eV per atom

Cell and atoms, written as CIF:
```
data_Ba2LiAu
_chemical_formula_sum 'Ba4 Li2 Au2'
_cell_length_a 7.670
_cell_length_b 7.670
_cell_length_c 7.670
_cell_angle_alpha 105.83
_cell_angle_beta 105.83
_cell_angle_gamma 117.02
_symmetry_space_group_name_H-M 'P 1'
_symmetry_Int_Tables_number 1
loop_
_symmetry_equiv_pos_as_xyz
'x,y,z'
loop_
_atom_site_label
_atom_site_type_symbol
_atom_site_fract_x
_atom_site_fract_y
_atom_site_fract_z
Ba1 Ba 0.087 0.125 0.462
Ba2 Ba 0.375 0.913 0.038
Ba3 Ba 0.663 0.625 0.538
Ba4 Ba 0.875 0.337 0.962
Li1 Li 0.250 0.750 0.500
Li2 Li 0.500 0.500 0.000
Au1 Au 0.000 0.000 0.000
Au2 Au 0.750 0.250 0.500
```


Record 8
DFT (PBE) results for a relaxed structure of TbFe4Cu.

## Properties
- Symmetry: F-43m
- DFT total energy: -7.03 eV per atom
- D(E_F): 0.88 states/eV per atom

Cell and atoms, written as CIF:
```
data_TbFe4Cu
_chemical_formula_sum 'Tb1 Fe4 Cu1'
_cell_length_a 4.968
_cell_length_b 4.968
_cell_length_c 4.968
_cell_angle_alpha 60.00
_cell_angle_beta 60.00
_cell_angle_gamma 60.00
_symmetry_space_group_name_H-M 'P 1'
_symmetry_Int_Tables_number 1
loop_
_symmetry_equiv_pos_as_xyz
'x,y,z'
loop_
_atom_site_label
_atom_site_type_symbol
_atom_site_fract_x
_atom_site_fract_y
_atom_site_fract_z
Tb1 Tb 0.000 0.000 0.000
Fe1 Fe 0.127 0.624 0.624
Fe2 Fe 0.624 0.127 0.624
Fe3 Fe 0.624 0.624 0.127
Fe4 Fe 0.624 0.624 0.624
Cu1 Cu 0.250 0.250 0.250
```


> The lowest D(E_F) belongs to which entry?

LaAgH8Rh2


> D(E_F) of number 4 (Ac3PmSm3S8)?

0.49 states/eV per atom